(1)
YPtSeBr2 | PBE-GGA | optimized geometry

Cell lengths 5.0402, 5.0402, 5.1646 Å; angles 90.00, 90.00, 90.00 degrees
Last column: nearest neighbours and their distance in Å.
Fractional positions:
1 Y 0.5000 0.5000 0.5000  4 Se 3.56, 8 Br 3.61
2 Se 0.0000 0.0000 0.5000  2 Pt 2.58
3 Br 0.0000 0.5000 0.0000  2 Pt 2.52
4 Br 0.5000 0.0000 0.0000  2 Pt 2.52
5 Pt 0.0000 0.0000 0.0000  4 Br 2.52, 2 Se 2.58

Properties
The value obtained for the energy relative to the elements, uncorrected is -0.34 eV/atom. As for the electronic total energy: -4.204 eV/atom.

---

(2)
HoNi12As6 | PBE-GGA | optimized geometry

Cell lengths 6.7316, 6.7316, 6.7316 Å; angles 105.32, 105.32, 105.32 degrees
Last column: nearest neighbours and their distance in Å.
Fractional positions:
1 Ho 0.0000 0.0000 0.0000  6 Ni 3.09
2 Ni 0.8787 0.1213 0.5000  4 As 2.31
3 Ni 0.8313 0.5825 0.5825  3 As 2.43-2.44, 4 Ni 2.66-2.68
4 Ni 0.5825 0.5825 0.8313  3 As 2.43-2.44, 4 Ni 2.66-2.68
5 Ni 0.4175 0.1687 0.4175  3 As 2.43-2.44, 4 Ni 2.66-2.68
6 Ni 0.4175 0.4175 0.1687  3 As 2.43-2.44, 4 Ni 2.66-2.68
7 Ni 0.1687 0.4175 0.4175  3 As 2.43-2.44, 4 Ni 2.66-2.68
8 Ni 0.1213 0.5000 0.8787  4 As 2.31
9 Ni 0.5000 0.8787 0.1213  4 As 2.31
10 Ni 0.1213 0.8787 0.5000  4 As 2.31
11 Ni 0.8787 0.5000 0.1213  4 As 2.31
12 Ni 0.5000 0.1213 0.8787  4 As 2.31
13 Ni 0.5825 0.8313 0.5825  3 As 2.43-2.44, 4 Ni 2.66-2.68
14 As 0.6965 0.2535 0.2535  7 Ni 2.31-2.44
15 As 0.2535 0.2535 0.6965  7 Ni 2.31-2.44
16 As 0.2535 0.6965 0.2535  7 Ni 2.31-2.44
17 As 0.7465 0.7465 0.3035  7 Ni 2.31-2.44
18 As 0.3035 0.7465 0.7465  7 Ni 2.31-2.44
19 As 0.7465 0.3035 0.7465  7 Ni 2.31-2.44

Properties
As for the electronic total energy: -5.589 eV/atom. For the formation energy, the calculation gives -0.23 eV per atom.

---

(3)
NaLi2IrN | PBE-GGA | optimized geometry

Cell lengths 4.3641, 4.3641, 3.8106 Å; angles 90.00, 90.00, 90.00 degrees
Last column: nearest neighbours and their distance in Å.
Fractional positions:
1 Na 0.5000 0.5000 0.5000  8 Li 2.90, 4 Ir 3.09
2 Ir 0.0000 0.0000 0.5000  2 N 1.91
3 Li 0.0000 0.5000 0.0000  2 N 2.18
4 Li 0.5000 0.0000 0.0000  2 N 2.18
5 N 0.0000 0.0000 0.0000  2 Ir 1.91

Properties
The value obtained for the energy relative to the elements, uncorrected is -0.20 eV/atom. As for the electronic total energy: -4.665 eV/atom.

---

What is the electronic total energy in the third record? -4.665 eV/atom